Record 1
First-principles (GGA-PBE) data for CaLa3Ir after structural relaxation, as listed in Alexandria via LeMat-Bulk.

Cell lengths 9.305, 9.305, 9.305 Å; angles 45.67, 45.67, 45.67 degrees
Element x y z (fractional)
La (0.350, 0.116, 0.709)
La (0.884, 0.291, 0.650)
La (0.709, 0.350, 0.116)
La (0.116, 0.709, 0.350)
La (0.291, 0.650, 0.884)
La (0.650, 0.884, 0.291)
Ca (0.817, 0.817, 0.817)
Ca (0.183, 0.183, 0.183)
Ir (0.314, 0.314, 0.314)
Ir (0.686, 0.686, 0.686)

Computed properties:
As for the energy relative to the elements: -1.2 eV per formula unit. The space-group type is R-3, No. 148.

Record 2
First-principles (GGA-PBE) data for Tb2Ni9Ru after structural relaxation, as listed in Alexandria via LeMat-Bulk.

Cell lengths 4.887, 4.887, 8.496 Å; angles 73.28, 73.28, 60.00 degrees
Last column: magnetic moment on the atom in μB.
Element x y z (fractional)
Ni (0.500, 0.500, 0.500)  0.22
Ni (0.581, 0.581, 0.758)  0.41
Ni (0.581, 0.080, 0.758)  0.41
Ni (0.419, 0.419, 0.242)  0.41
Ni (0.920, 0.419, 0.242)  0.41
Ni (0.080, 0.581, 0.758)  0.41
Ni (0.419, 0.920, 0.242)  0.41
Ni (0.667, 0.667, 0.000)  0.68
Ni (0.333, 0.333, 0.000)  0.68
Tb (0.133, 0.133, 0.600)  -0.12
Tb (0.867, 0.867, 0.400)  -0.12
Ru (0.000, 0.000, 0.000)  1.88

Computed properties:
As for the energy relative to the elements: -1.1 eV per formula unit. The space-group type is R-3m, No. 166.

Record 3
First-principles (GGA-PBE) data for KCeCl5 after structural relaxation, as listed in Alexandria via LeMat-Bulk.

Cell lengths 7.552, 7.552, 10.872 Å; angles 95.26, 111.19, 110.34 degrees
Element x y z (fractional)
K (0.291, 0.541, 0.750)
K (0.709, 0.459, 0.250)
Ce (0.500, 0.000, 0.500)
Ce (0.000, 0.000, 0.000)
Cl (0.773, 0.654, 0.008)
Cl (0.822, 0.144, 0.117)
Cl (0.681, 0.931, 0.750)
Cl (0.146, 0.765, 0.492)
Cl (0.473, 0.295, 0.617)
Cl (0.527, 0.705, 0.383)
Cl (0.227, 0.346, 0.992)
Cl (0.854, 0.235, 0.508)
Cl (0.319, 0.069, 0.250)
Cl (0.178, 0.856, 0.883)

Computed properties:
The electronic total energy comes out at -4.2851 eV per atom. The space-group type is C2/c, No. 15.

Number 1: magnetization 0.000 μB per atom. Number 2: magnetization 0.457 μB per atom. Number 3: magnetization 0.000 μB per atom.